1.
DFT (PBE) results for a relaxed structure of ScBeAlO4.

Results
total energy	-107.98	eV/cell
formation energy (no corrections)	-1964	kJ/mol of formula units
D(E_F)	0.00	states/eV per atom
volume	136	Å³ per cell
total magnetization	0.000	μB per formula unit
space group	Imma (74)

Structure (CIF):
```
data_ScBeAlO4
_space_group_name_H-M_alt 'P 1'
_space_group_IT_number 1
_cell_length_a 5.769
_cell_length_b 5.769
_cell_length_c 5.769
_cell_angle_alpha 121.34
_cell_angle_beta 118.41
_cell_angle_gamma 90.23
loop_
_space_group_symop_operation_xyz
'x,y,z'
loop_
_atom_site_label
_atom_site_type_symbol
_atom_site_fract_x
_atom_site_fract_y
_atom_site_fract_z
Sc1 Sc 0.000 0.000 0.000
Sc2 Sc 0.500 0.000 0.500
Be1 Be 0.356 0.606 0.750
Be2 Be 0.644 0.394 0.250
Al1 Al 0.000 0.000 0.500
Al2 Al 0.000 0.500 0.000
O1 O 0.223 0.745 0.477
O2 O 0.232 0.255 0.977
O3 O 0.243 0.252 0.509
O4 O 0.243 0.734 0.991
O5 O 0.757 0.266 0.009
O6 O 0.757 0.748 0.491
O7 O 0.768 0.745 0.023
O8 O 0.777 0.255 0.523
```

---

2.
DFT (PBE) results for a relaxed structure of Sr2Be2AlO6.

Results
total energy	-73.05	eV/cell
formation energy (no corrections)	-2773	kJ/mol of formula units
D(E_F)	0.56	states/eV per atom
volume	125	Å³ per cell
total magnetization	0.001	μB per formula unit
space group	R-3m (166)

Structure (CIF):
```
data_Sr2Be2AlO6
_space_group_name_H-M_alt 'P 1'
_space_group_IT_number 1
_cell_length_a 5.951
_cell_length_b 5.951
_cell_length_c 5.951
_cell_angle_alpha 52.99
_cell_angle_beta 52.99
_cell_angle_gamma 52.99
loop_
_space_group_symop_operation_xyz
'x,y,z'
loop_
_atom_site_label
_atom_site_type_symbol
_atom_site_fract_x
_atom_site_fract_y
_atom_site_fract_z
Sr1 Sr 0.222 0.222 0.222
Sr2 Sr 0.778 0.778 0.778
Be1 Be 0.414 0.414 0.414
Be2 Be 0.586 0.586 0.586
Al1 Al 0.000 0.000 0.000
O1 O 0.243 0.243 0.743
O2 O 0.243 0.743 0.243
O3 O 0.257 0.757 0.757
O4 O 0.743 0.243 0.243
O5 O 0.757 0.257 0.757
O6 O 0.757 0.757 0.257
```

---

3.
DFT (PBE) results for a relaxed structure of SrBe2AlO.

Results
total energy	-16.70	eV/cell
formation energy (no corrections)	109	kJ/mol of formula units
D(E_F)	0.76	states/eV per atom
volume	95	Å³ per cell
total magnetization	0.300	μB per formula unit
space group	P4/mmm (123)

Structure (CIF):
```
data_SrBe2AlO
_space_group_name_H-M_alt 'P 1'
_space_group_IT_number 1
_cell_length_a 5.222
_cell_length_b 5.222
_cell_length_c 3.478
_cell_angle_alpha 90.00
_cell_angle_beta 90.00
_cell_angle_gamma 90.00
loop_
_space_group_symop_operation_xyz
'x,y,z'
loop_
_atom_site_label
_atom_site_type_symbol
_atom_site_fract_x
_atom_site_fract_y
_atom_site_fract_z
Sr1 Sr 0.000 0.000 0.000
Be1 Be 0.000 0.500 0.500
Be2 Be 0.500 0.000 0.500
Al1 Al 0.500 0.500 0.000
O1 O 0.500 0.500 0.500
```

---

4.
DFT (PBE) results for a relaxed structure of Sr3Be2AlO6.

Results
total energy	-77.35	eV/cell
formation energy (no corrections)	-3026	kJ/mol of formula units
D(E_F)	0.13	states/eV per atom
volume	164	Å³ per cell
total magnetization	0.003	μB per formula unit
space group	P-3m1 (164)

Structure (CIF):
```
data_Sr3Be2AlO6
_space_group_name_H-M_alt 'P 1'
_space_group_IT_number 1
_cell_length_a 5.356
_cell_length_b 5.356
_cell_length_c 6.595
_cell_angle_alpha 90.00
_cell_angle_beta 90.00
_cell_angle_gamma 120.00
loop_
_space_group_symop_operation_xyz
'x,y,z'
loop_
_atom_site_label
_atom_site_type_symbol
_atom_site_fract_x
_atom_site_fract_y
_atom_site_fract_z
Sr1 Sr 0.000 0.000 0.000
Sr2 Sr 0.333 0.667 0.673
Sr3 Sr 0.667 0.333 0.327
Be1 Be 0.333 0.667 0.275
Be2 Be 0.667 0.333 0.725
Al1 Al 0.000 0.000 0.500
O1 O 0.168 0.336 0.319
O2 O 0.168 0.832 0.319
O3 O 0.336 0.168 0.681
O4 O 0.664 0.832 0.319
O5 O 0.832 0.168 0.681
O6 O 0.832 0.664 0.681
```

---

5.
DFT (PBE) results for a relaxed structure of BeAlTlO4.

Results
total energy	-86.46	eV/cell
formation energy (no corrections)	-1309	kJ/mol of formula units
volume	157	Å³ per cell
total magnetization	0.000	μB per formula unit
space group	Cmcm (63)

Structure (CIF):
```
data_BeAlTlO4
_space_group_name_H-M_alt 'P 1'
_space_group_IT_number 1
_cell_length_a 5.253
_cell_length_b 5.253
_cell_length_c 6.059
_cell_angle_alpha 90.00
_cell_angle_beta 90.00
_cell_angle_gamma 110.22
loop_
_space_group_symop_operation_xyz
'x,y,z'
loop_
_atom_site_label
_atom_site_type_symbol
_atom_site_fract_x
_atom_site_fract_y
_atom_site_fract_z
Be1 Be 0.149 0.851 0.750
Be2 Be 0.851 0.149 0.250
Al1 Al 0.143 0.857 0.250
Al2 Al 0.857 0.143 0.750
Tl1 Tl 0.500 0.500 0.000
Tl2 Tl 0.500 0.500 0.500
O1 O 0.199 0.218 0.250
O2 O 0.218 0.199 0.750
O3 O 0.240 0.760 0.511
O4 O 0.240 0.760 0.989
O5 O 0.760 0.240 0.011
O6 O 0.760 0.240 0.489
O7 O 0.782 0.801 0.250
O8 O 0.801 0.782 0.750
```

---

6.
DFT (PBE) results for a relaxed structure of UBeAlO6.

Results
total energy	-140.93	eV/cell
formation energy (no corrections)	-2119	kJ/mol of formula units
D(E_F)	0.63	states/eV per atom
volume	182	Å³ per cell
total magnetization	0.000	μB per formula unit
space group	P-31c (163)

Structure (CIF):
```
data_UBeAlO6
_space_group_name_H-M_alt 'P 1'
_space_group_IT_number 1
_cell_length_a 4.949
_cell_length_b 4.949
_cell_length_c 8.600
_cell_angle_alpha 90.00
_cell_angle_beta 90.00
_cell_angle_gamma 120.00
loop_
_space_group_symop_operation_xyz
'x,y,z'
loop_
_atom_site_label
_atom_site_type_symbol
_atom_site_fract_x
_atom_site_fract_y
_atom_site_fract_z
U1 U 0.333 0.667 0.250
U2 U 0.667 0.333 0.750
Be1 Be 0.333 0.667 0.750
Be2 Be 0.667 0.333 0.250
Al1 Al 0.000 0.000 0.000
Al2 Al 0.000 0.000 0.500
O1 O 0.031 0.341 0.627
O2 O 0.031 0.690 0.873
O3 O 0.310 0.341 0.873
O4 O 0.310 0.969 0.627
O5 O 0.341 0.031 0.127
O6 O 0.341 0.310 0.373
O7 O 0.659 0.690 0.627
O8 O 0.659 0.969 0.873
O9 O 0.690 0.031 0.373
O10 O 0.690 0.659 0.127
O11 O 0.969 0.310 0.127
O12 O 0.969 0.659 0.373
```

---

7.
DFT (PBE) results for a relaxed structure of BeAlOs.

Results
total energy	-19.69	eV/cell
D(E_F)	0.62	states/eV per atom
volume	37	Å³ per cell
total magnetization	0.000	μB per formula unit
space group	I4mm (107)
DFT formation energy	-0.330	eV per atom

Structure (CIF):
```
data_BeAlOs
_space_group_name_H-M_alt 'P 1'
_space_group_IT_number 1
_cell_length_a 4.600
_cell_length_b 4.600
_cell_length_c 4.600
_cell_angle_alpha 141.83
_cell_angle_beta 141.83
_cell_angle_gamma 55.09
loop_
_space_group_symop_operation_xyz
'x,y,z'
loop_
_atom_site_label
_atom_site_type_symbol
_atom_site_fract_x
_atom_site_fract_y
_atom_site_fract_z
Be1 Be 0.000 0.000 0.000
Al1 Al 0.312 0.312 0.000
Os1 Os 0.631 0.631 0.000
```

---

8.
DFT (PBE) results for a relaxed structure of BeAlOs4.

Results
total energy	-48.08	eV/cell
D(E_F)	1.29	states/eV per atom
volume	94	Å³ per cell
total magnetization	0.003	μB per formula unit
space group	F-43m (216)
DFT formation energy	0.717	eV per atom

Structure (CIF):
```
data_BeAlOs4
_space_group_name_H-M_alt 'P 1'
_space_group_IT_number 1
_cell_length_a 5.107
_cell_length_b 5.107
_cell_length_c 5.107
_cell_angle_alpha 60.00
_cell_angle_beta 60.00
_cell_angle_gamma 60.00
loop_
_space_group_symop_operation_xyz
'x,y,z'
loop_
_atom_site_label
_atom_site_type_symbol
_atom_site_fract_x
_atom_site_fract_y
_atom_site_fract_z
Be1 Be 0.000 0.000 0.000
Al1 Al 0.250 0.250 0.250
Os1 Os 0.125 0.625 0.625
Os2 Os 0.625 0.125 0.625
Os3 Os 0.625 0.625 0.125
Os4 Os 0.625 0.625 0.625
```

---

9.
DFT (PBE) results for a relaxed structure of BeAl3Os.

Results
total energy	-23.54	eV/cell
D(E_F)	0.38	states/eV per atom
volume	106	Å³ per cell
total magnetization	0.000	μB per formula unit
space group	Pm-3m (221)
DFT formation energy	0.528	eV per atom

Structure (CIF):
```
data_BeAl3Os
_space_group_name_H-M_alt 'P 1'
_space_group_IT_number 1
_cell_length_a 4.734
_cell_length_b 4.734
_cell_length_c 4.734
_cell_angle_alpha 90.00
_cell_angle_beta 90.00
_cell_angle_gamma 90.00
loop_
_space_group_symop_operation_xyz
'x,y,z'
loop_
_atom_site_label
_atom_site_type_symbol
_atom_site_fract_x
_atom_site_fract_y
_atom_site_fract_z
Be1 Be 0.000 0.000 0.000
Al1 Al 0.000 0.500 0.500
Al2 Al 0.500 0.000 0.500
Al3 Al 0.500 0.500 0.000
Os1 Os 0.500 0.500 0.500
```

---

10.
DFT (PBE) results for a relaxed structure of Be2AlOs.

Results
total energy	-22.56	eV/cell
D(E_F)	0.44	states/eV per atom
volume	47	Å³ per cell
total magnetization	0.214	μB per formula unit
space group	Pmmm (47)
DFT formation energy	-0.034	eV per atom

Structure (CIF):
```
data_Be2AlOs
_space_group_name_H-M_alt 'P 1'
_space_group_IT_number 1
_cell_length_a 2.689
_cell_length_b 3.775
_cell_length_c 4.674
_cell_angle_alpha 90.00
_cell_angle_beta 90.00
_cell_angle_gamma 90.00
loop_
_space_group_symop_operation_xyz
'x,y,z'
loop_
_atom_site_label
_atom_site_type_symbol
_atom_site_fract_x
_atom_site_fract_y
_atom_site_fract_z
Be1 Be 0.000 0.000 0.215
Be2 Be 0.000 0.000 0.785
Al1 Al 0.000 0.500 0.500
Os1 Os 0.500 0.500 0.000
```

---

Q: What is the volume in the sixth record?
A: 182 Å³ per cell

---

Q: Which of these has the highest total magnetization?
A: SrBe2AlO

---

Q: What is the formula in the first record?
A: ScBeAlO4